[1]
Compound: LiY2Re
Source: the Alexandria database
Functional: PBE
Structure: relaxed

POSCAR file:
```
LiY2Re
1.0
5.2222 -1.7472 0.0000
5.2222 1.7472 0.0000
-1.4635 0.0000 4.8397
Li Y Re
1 2 1
Direct
0.0000 0.0000 0.0000 Li
0.5638 0.5638 0.5784 Y
0.7726 0.7726 0.2165 Y
0.3016 0.3016 0.7208 Re
```

Calculated values
- Space group: Cm, No. 8
- DFT formation energy: 0.29 eV/atom

=====

[2]
Compound: Pr8Co2C
Source: the Alexandria database
Functional: PBE
Structure: relaxed

POSCAR file:
```
Pr8Co2C
1.0
3.7455 0.0000 0.0000
0.0030 9.0255 0.0000
1.8547 0.4237 9.3593
Pr Co C
8 2 1
Direct
0.0143 0.1955 0.4708 Pr
0.2253 0.3263 0.0501 Pr
0.3591 0.0336 0.7819 Pr
0.3980 0.4571 0.6997 Pr
0.6020 0.5429 0.3003 Pr
0.6409 0.9664 0.2181 Pr
0.7747 0.6737 0.9499 Pr
0.9857 0.8045 0.5292 Pr
0.1621 0.7316 0.1773 Co
0.8379 0.2684 0.8227 Co
0.5000 0.0000 0.5000 C
```

Calculated values
- Space group: P-1, No. 2
- DFT formation energy: -0.01 eV/atom

=====

[3]
Compound: Pm4Dy4Tm
Source: the Alexandria database
Functional: PBE
Structure: relaxed

POSCAR file:
```
Pm4Dy4Tm
1.0
8.3968 -2.7932 0.0000
8.3968 2.7932 0.0000
-2.6680 0.0000 6.3091
Pm Dy Tm
4 4 1
Direct
0.1325 0.1325 0.4601 Pm
0.2815 0.2815 0.2127 Pm
0.7185 0.7185 0.7873 Pm
0.8675 0.8675 0.5399 Pm
0.0728 0.0728 0.8760 Dy
0.3740 0.3740 0.8191 Dy
0.6260 0.6260 0.1809 Dy
0.9272 0.9272 0.1240 Dy
0.5000 0.5000 0.5000 Tm
```

Calculated values
- Space group: C2/m, No. 12
- Energy relative to the lowest polymorph listed for this composition: 0.0901 eV/atom
- DFT formation energy: 0.11 eV/atom

=====

[4]
Compound: Pa3Si7Os2
Source: the Alexandria database
Functional: PBE
Structure: relaxed

POSCAR file:
```
Pa3Si7Os2
1.0
2.0580 -12.8106 0.0000
2.0580 12.8106 0.0000
0.0000 0.0000 4.0603
Pa Si Os
3 7 2
Direct
0.0000 0.0000 0.0000 Pa
0.1802 0.8198 0.0000 Pa
0.8198 0.1802 0.0000 Pa
0.0847 0.9153 0.5000 Si
0.2724 0.7276 0.5000 Si
0.4156 0.5844 0.0000 Si
0.5000 0.5000 0.5000 Si
0.5844 0.4156 0.0000 Si
0.7276 0.2724 0.5000 Si
0.9153 0.0847 0.5000 Si
0.3633 0.6367 0.5000 Os
0.6367 0.3633 0.5000 Os
```

Calculated values
- Space group: Cmmm, No. 65
- Energy relative to the lowest polymorph listed for this composition: 0.1386 eV/atom
- Formation energy from raw total energies: -5.335 eV per formula unit